## AcSiPd (PBE-GGA)

Data for a geometry-optimized AcSiPd structure.

a = 4.3088 Å, b = 4.3088 Å, c = 4.5334 Å
α = 90.00°, β = 90.00°, γ = 120.00°
With the nearest neighbours (Å) after each atom.
Space group P-6m2 (No. 187)
One atom of each set of equivalent atoms:
Ac 0.0000 0.0000 0.0000  6 Pd 3.37, 6 Si 3.37
Si 0.6667 0.3333 0.5000  3 Pd 2.49
Pd 0.3333 0.6667 0.5000  3 Si 2.49

Calculated values
- ρ: 8.24 g/cm3
- E_tot: -5.77 eV per atom
- Formation energy (no corrections): -0.86 eV per atom
- Energy above the most stable polymorph in this dataset: 0.0 meV per atom